1.
Below is a geometry-optimized Li4CoSn2Pd structure, with properties calculated at the PBE level.

Geometry as POSCAR:
```
Li4CoSn2Pd
1.0
-1.765 3.330 -2.264
-3.699 -0.366 2.347
2.257 4.044 4.188
Li Pd Co Sn
4 1 1 2
Cartesian
-0.324 2.665 -0.096
1.129 2.022 2.094
-2.732 1.482 0.042
-0.150 2.861 4.326
-1.604 3.504 2.136
0.000 0.000 0.000
-1.329 0.750 2.139
0.854 4.776 2.090
```

The symmetry is P-4m2, No. 115.

=====

2.
Below is a geometry-optimized Li2Zr2CoSn2Pd structure, with properties calculated at the PBE level.

Geometry as POSCAR:
```
Li2Zr2CoSn2Pd
1.0
-3.954 1.977 0.983
-1.917 -4.074 0.482
1.561 0.007 6.265
Sn Co Li Zr Pd
2 1 2 2 1
Cartesian
-0.793 0.994 5.242
-0.581 -2.035 1.756
0.000 0.000 0.000
0.781 0.003 3.133
-2.935 -1.049 0.733
-1.606 0.990 1.982
0.232 -2.032 5.017
-2.155 -1.045 3.865
```

The symmetry is P-4m2, No. 115.

=====

3.
Below is a geometry-optimized LiTlCoPd structure, with properties calculated at the PBE level.

Geometry as POSCAR:
```
LiTlCoPd
1.0
3.335 -2.114 -1.939
0.348 -4.370 0.373
-0.757 -2.573 -3.488
Li Pd Co Tl
1 1 1 1
Cartesian
0.732 -2.264 -1.263
1.463 -4.528 -2.527
2.195 -6.793 -3.790
0.000 0.000 0.000
```

The symmetry is F-43m, No. 216.

=====

4.
Below is a geometry-optimized LiPrCo structure, with properties calculated at the PBE level.

Geometry as POSCAR:
```
LiPrCo
1.0
0.000 3.070 3.070
3.070 0.000 3.070
3.070 3.070 0.000
Co Li Pr
1 1 1
Cartesian
4.605 4.605 4.605
0.000 0.000 0.000
1.535 1.535 1.535
```

The symmetry is F-43m, No. 216.

=====

5.
Below is a geometry-optimized LiPrCoS3 structure, with properties calculated at the PBE level.

Geometry as POSCAR:
```
LiPrCoS3
1.0
5.835 -1.936 0.000
5.835 1.936 0.000
0.000 0.000 11.006
S Pr Li Co
6 2 2 2
Cartesian
0.955 0.000 8.254
7.582 0.000 4.443
4.089 0.000 6.563
10.716 0.000 2.751
4.089 0.000 9.946
7.582 0.000 1.060
0.000 0.000 5.503
0.000 0.000 0.000
8.998 0.000 8.254
2.673 0.000 2.751
5.567 0.000 8.254
6.104 0.000 2.751
```

The symmetry is Cmcm, No. 63.

=====

6.
Below is a geometry-optimized Li2Y2CoSn2Pt structure, with properties calculated at the PBE level.

Geometry as POSCAR:
```
Li2Y2CoSn2Pt
1.0
-1.130 3.865 -2.405
0.020 -2.474 -3.985
-6.497 -1.384 0.827
Pt Li Y Sn Co
1 2 2 2 1
Cartesian
-3.803 0.003 -2.782
-3.248 -0.692 0.414
-0.555 0.695 -3.195
-2.149 1.595 -1.001
-4.903 -2.284 -1.367
-1.537 -1.567 -1.795
-5.515 0.878 -0.573
0.000 0.000 0.000
```

The symmetry is P-4m2, No. 115.

=====

7.
Below is a geometry-optimized Li2Zr2CoSn2Pt structure, with properties calculated at the PBE level.

Geometry as POSCAR:
```
Li2Zr2CoSn2Pt
1.0
-3.273 2.941 -1.159
-2.874 -3.463 -0.673
-1.875 0.352 6.188
Li Zr Pt Co Sn
2 2 1 1 2
Cartesian
-4.011 -0.085 2.178
0.000 0.000 0.000
-1.929 -1.639 1.286
-3.019 1.731 3.986
-3.073 -0.261 -0.916
-0.937 0.176 3.094
-2.130 1.564 1.051
-2.818 -1.472 4.221
```

The symmetry is P-4m2, No. 115.

=====

8.
Below is a geometry-optimized LiPuCo structure, with properties calculated at the PBE level.

Geometry as POSCAR:
```
LiPuCo
1.0
1.753 2.331 3.062
-2.406 1.569 3.103
0.324 -1.556 3.919
Pu Li Co
1 1 1
Cartesian
0.000 0.000 0.000
-0.082 0.586 2.521
-0.247 1.758 7.563
```

The symmetry is F-43m, No. 216.

=====

no.,DFT total energy (hartree per atom)
1,-0.1425
2,-0.2080
3,-0.1513
4,-0.1508
5,-0.2015
6,-0.1982
7,-0.2144
8,-0.2542